# LiTlHg2Au (PBE-GGA, relaxed)
data_LiTlHg2Au
_cell_length_a 5.4030
_cell_length_b 5.4030
_cell_length_c 4.8796
_cell_angle_alpha 90.00
_cell_angle_beta 90.00
_cell_angle_gamma 90.00
_space_group_name_H-M_alt 'P 4/m m m'
_space_group_IT_number 123
_space_group_name_Hall '-P 4 2'
loop_
_atom_site_label
_atom_site_fract_x
_atom_site_fract_y
_atom_site_fract_z
Li1 0.0000 0.0000 0.0000
Tl1 0.5000 0.5000 0.0000
Hg1 0.0000 0.5000 0.5000
Au1 0.0000 0.0000 0.5000
# - ΔH_f (0 K) (eV/atom) = -0.04
# - calculated density (kg/m3) = 9436


# Na11TlHg5 (PBE-GGA, relaxed)
data_Na11TlHg5
_cell_length_a 11.3165
_cell_length_b 14.3758
_cell_length_c 8.3037
_cell_angle_alpha 90.00
_cell_angle_beta 131.03
_cell_angle_gamma 90.00
_space_group_name_H-M_alt 'C 1 2/m 1'
_space_group_IT_number 12
_space_group_name_Hall '-C 2y'
loop_
_atom_site_label
_atom_site_fract_x
_atom_site_fract_y
_atom_site_fract_z
Na1 0.0000 0.0000 0.0000
Na2 0.0441 0.1965 0.7666
Na3 0.1784 0.3771 0.3140
Na4 0.1964 0.5000 0.9791
Tl1 0.0000 0.0000 0.5000
Hg1 0.0000 0.5000 0.5000
Hg2 0.2367 0.3346 0.7274
# - ΔH_f (0 K) (eV/atom) = -0.13
# - calculated density (kg/m3) = 4759


# AcLaPt (PBE-GGA, relaxed)
data_AcLaPt
_cell_length_a 7.3636
_cell_length_b 7.3636
_cell_length_c 7.3636
_cell_angle_alpha 90.00
_cell_angle_beta 90.00
_cell_angle_gamma 90.00
_space_group_name_H-M_alt 'F -4 3 m'
_space_group_IT_number 216
_space_group_name_Hall 'F -4 2 3'
loop_
_atom_site_label
_atom_site_fract_x
_atom_site_fract_y
_atom_site_fract_z
Ac1 0.0000 0.0000 0.0000
La1 0.0000 0.0000 0.5000
Pt1 0.2500 0.2500 0.2500
# - ΔH_f (0 K) (eV/atom) = -0.68
# - calculated density (kg/m3) = 9332
# - excess energy over the best structure of this formula in the dataset (meV per atom) = 131


# Co7Hg (PBE-GGA, relaxed)
data_Co7Hg
_cell_length_a 7.2924
_cell_length_b 7.2924
_cell_length_c 7.2924
_cell_angle_alpha 90.00
_cell_angle_beta 90.00
_cell_angle_gamma 90.00
_space_group_name_H-M_alt 'F m -3 m'
_space_group_IT_number 225
_space_group_name_Hall '-F 4 2 3'
loop_
_atom_site_label
_atom_site_fract_x
_atom_site_fract_y
_atom_site_fract_z
Co1 0.0000 0.0000 0.0000
Co2 0.0000 0.2500 0.2500
Hg1 0.0000 0.0000 0.5000
# - ΔH_f (0 K) (eV/atom) = 0.28
# - calculated density (kg/m3) = 10501


# Zn3AuO3 (PBE-GGA, relaxed)
data_Zn3AuO3
_cell_length_a 5.7307
_cell_length_b 5.7307
_cell_length_c 5.7307
_cell_angle_alpha 90.00
_cell_angle_beta 90.00
_cell_angle_gamma 90.00
_space_group_name_H-M_alt 'P m -3 n'
_space_group_IT_number 223
_space_group_name_Hall '-P 4n 2 3'
loop_
_atom_site_label
_atom_site_fract_x
_atom_site_fract_y
_atom_site_fract_z
Zn1 0.0000 0.2500 0.5000
Au1 0.0000 0.0000 0.0000
O1 0.0000 0.5000 0.2500
# - calculated density (kg/m3) = 7785
# - ΔE_f (raw) (eV per atom) = -0.87


# AsH2Cl (PBE-GGA, relaxed)
data_AsH2Cl
_cell_length_a 5.9063
_cell_length_b 8.6759
_cell_length_c 2.5940
_cell_angle_alpha 90.00
_cell_angle_beta 90.00
_cell_angle_gamma 90.00
_space_group_name_H-M_alt 'P m m 2'
_space_group_IT_number 25
_space_group_name_Hall 'P 2 -2'
loop_
_atom_site_label
_atom_site_fract_x
_atom_site_fract_y
_atom_site_fract_z
As1 0.0000 0.1784 0.0000
H1 0.1969 0.2947 0.0003
Cl1 0.5000 0.0000 0.4988
Cl2 0.5000 0.5000 0.0059
# - calculated density (kg/m3) = 2808
# - excess energy over the best structure of this formula in the dataset (meV per atom) = 0


# Cu2PAu2 (PBE-GGA, relaxed)
data_Cu2PAu2
_cell_length_a 7.5209
_cell_length_b 7.5209
_cell_length_c 2.8317
_cell_angle_alpha 90.00
_cell_angle_beta 90.00
_cell_angle_gamma 90.00
_space_group_name_H-M_alt 'P 4/m b m'
_space_group_IT_number 127
_space_group_name_Hall '-P 4 2ab'
loop_
_atom_site_label
_atom_site_fract_x
_atom_site_fract_y
_atom_site_fract_z
Cu1 0.1176 0.3824 0.0000
P1 0.0000 0.0000 0.5000
Au1 0.1786 0.6786 0.5000
# - ΔH_f (0 K) (eV/atom) = 0.22
# - calculated density (kg/m3) = 11445


# Ta6CrOs (PBE-GGA, relaxed)
data_Ta6CrOs
_cell_length_a 4.5318
_cell_length_b 4.5318
_cell_length_c 13.1467
_cell_angle_alpha 90.00
_cell_angle_beta 90.00
_cell_angle_gamma 90.00
_space_group_name_H-M_alt 'I 4/m m m'
_space_group_IT_number 139
_space_group_name_Hall '-I 4 2'
loop_
_atom_site_label
_atom_site_fract_x
_atom_site_fract_y
_atom_site_fract_z
Ta1 0.0000 0.0000 0.2476
Ta2 0.0000 0.5000 0.1185
Cr1 0.0000 0.0000 0.0000
Os1 0.0000 0.0000 0.5000
# - ΔH_f (0 K) (eV/atom) = -0.17
# - calculated density (kg/m3) = 16334


Fermi-level density of states values (in states/eV per atom) by entry order: 0.54 0.40 1.74 1.15 0.36 0.16 0.45 0.74.